VASP calculation (GGA-PBE) on ScZnAsSe2 after structural relaxation.

SG ... P4/mmm
Formation energy (no corrections) ... 0.0225 eV/atom

Cell lengths 4.9340, 4.9340, 4.7266 Å; angles 90.00, 90.00, 90.00 degrees
Fractional positions:
Sc1 0.5000 0.5000 0.5000
As1 0.0000 0.0000 0.5000
Zn1 0.0000 0.0000 0.0000
Se1 0.0000 0.5000 0.0000
Se2 0.5000 0.0000 0.0000